Material: TbInCl6
Method: DFT, PBE
State: optimized geometry

```
TbInCl6
1.0
3.342 -5.806 0.000
3.342 5.806 0.000
-2.256 0.000 6.083
Tb In Cl
1 1 6
direct
0.000 0.000 0.000
0.669 0.331 0.000
0.054 0.397 0.244
0.268 0.236 0.759
0.427 0.105 0.238
0.603 0.946 0.756
0.764 0.732 0.241
0.895 0.573 0.762
```

**Total DFT energy (no corrections)**: -0.29245 Ry/atom
**Size of the total moment**: 0.0000 μB/atom

=====

Material: NbAgSe2
Method: DFT, PBE
State: optimized geometry

```
NbAgSe2
1.0
1.726 0.996 8.090
-1.726 0.996 8.090
0.000 -1.993 8.090
Nb Ag Se
1 1 2
direct
0.000 0.000 0.000
0.157 0.157 0.157
0.264 0.264 0.264
0.739 0.739 0.739
```

**Total DFT energy (no corrections)**: -0.39994 Ry/atom
**Size of the total moment**: 0.0010 μB/atom

=====

Material: Ag15As
Method: DFT, PBE
State: optimized geometry

```
Ag15As
1.0
4.044 0.000 0.000
-0.025 8.174 0.000
-0.044 -0.002 43.489
Ag As
60 4
direct
0.000 0.000 0.000
0.000 0.000 0.098
0.000 0.250 0.049
0.000 0.501 0.001
0.000 0.501 0.098
0.001 0.000 0.292
0.001 0.000 0.388
0.001 0.001 0.195
0.001 0.250 0.147
0.001 0.250 0.244
0.001 0.250 0.437
0.001 0.251 0.340
0.001 0.500 0.195
0.001 0.500 0.292
0.001 0.500 0.389
0.001 0.501 0.486
0.001 0.750 0.147
0.001 0.750 0.340
0.001 0.751 0.049
0.001 0.751 0.243
0.001 0.751 0.437
0.001 0.999 0.486
0.002 0.250 0.535
0.002 0.751 0.535
0.003 0.002 0.585
0.003 0.499 0.584
0.004 0.750 0.634
0.496 0.749 0.902
0.498 0.002 0.950
0.499 0.498 0.951
0.500 0.250 0.001
0.500 0.501 0.049
0.500 0.751 0.000
0.500 0.999 0.049
0.501 0.000 0.147
0.501 0.000 0.243
0.501 0.000 0.437
0.501 0.000 0.535
0.501 0.001 0.340
0.501 0.250 0.098
0.501 0.250 0.292
0.501 0.250 0.486
0.501 0.251 0.195
0.501 0.251 0.389
0.501 0.500 0.147
0.501 0.500 0.244
0.501 0.500 0.340
0.501 0.501 0.437
0.501 0.750 0.195
0.501 0.750 0.388
0.501 0.751 0.098
0.501 0.751 0.292
0.501 0.751 0.486
0.502 0.252 0.584
0.502 0.501 0.535
0.503 0.749 0.585
0.505 0.001 0.634
0.997 0.001 0.902
0.998 0.252 0.951
0.998 0.748 0.950
0.001 0.261 0.633
0.001 0.490 0.902
0.495 0.260 0.902
0.506 0.490 0.633
```

**Energy above the lowest structure with this stoichiometry**: 0.006 eV/atom

=====

Material: NdPPdO
Method: DFT, PBE
State: optimized geometry

```
NdPPdO
1.0
4.624 0.000 0.000
0.000 4.222 0.000
0.000 0.000 6.947
Nd P Pd O
2 2 2 2
direct
0.000 0.221 0.000
0.000 0.779 0.500
0.500 0.218 0.685
0.500 0.782 0.185
0.500 0.285 0.345
0.500 0.715 0.845
0.000 0.281 0.339
0.000 0.719 0.839
```

**Size of the total moment**: 0.0004 μB/atom
**Energy above the lowest structure with this stoichiometry**: 0.341 eV/atom

=====

Material: CsYCu
Method: DFT, PBE
State: optimized geometry

```
CsYCu
1.0
0.000 3.595 3.595
3.595 0.000 3.595
3.595 3.595 0.000
Cs Y Cu
1 1 1
direct
0.000 0.000 0.000
0.250 0.250 0.250
0.750 0.750 0.750
```

**Total DFT energy (no corrections)**: -0.17601 Ry/atom
**Size of the total moment**: 0.0087 μB/atom

=====

Material: Y2IrSe4
Method: DFT, PBE
State: optimized geometry

```
Y2IrSe4
1.0
0.000 5.702 5.702
5.702 0.000 5.702
5.702 5.702 0.000
Y Ir Se
4 2 8
direct
0.000 0.000 0.000
0.000 0.000 0.500
0.000 0.500 0.000
0.500 0.000 0.000
0.375 0.375 0.375
0.625 0.625 0.625
0.251 0.251 0.251
0.251 0.251 0.748
0.251 0.748 0.251
0.252 0.749 0.749
0.748 0.251 0.251
0.749 0.252 0.749
0.749 0.749 0.252
0.749 0.749 0.749
```

**Total DFT energy (no corrections)**: -0.44941 Ry/atom
**Size of the total moment**: 0.2143 μB/atom

=====

Material: Nb2CuB
Method: DFT, PBE
State: optimized geometry

```
Nb2CuB
1.0
3.189 0.000 0.000
-1.595 2.762 0.000
0.000 0.000 13.346
Nb Cu B
4 2 2
direct
0.333 0.667 0.096
0.333 0.667 0.404
0.667 0.333 0.596
0.667 0.333 0.904
0.333 0.667 0.750
0.667 0.333 0.250
0.000 0.000 0.000
0.000 0.000 0.500
```

**Total DFT energy (no corrections)**: -0.56936 Ry/atom
**Size of the total moment**: 0.0007 μB/atom

=====

Material: Tm3Lu3Te2Os
Method: DFT, PBE
State: optimized geometry

```
Tm3Lu3Te2Os
1.0
8.155 0.000 0.000
-4.077 7.062 0.000
0.000 0.000 4.021
Tm Lu Te Os
3 3 2 1
direct
0.000 0.240 0.000
0.240 0.000 0.000
0.760 0.760 0.000
0.000 0.617 0.500
0.383 0.383 0.500
0.617 0.000 0.500
0.333 0.667 0.000
0.667 0.333 0.000
0.000 0.000 0.500
```

**Size of the total moment**: 0.0034 μB/atom
**Energy above the lowest structure with this stoichiometry**: 0.031 eV/atom